No. 1
Here is ZrZn2Mo after structural relaxation from Alexandria via LeMat-Bulk. Energies are from PBE.

Cell: 3.385 4.560 8.692 Å, 90.00 90.00 90.00°
Space group Imm2 (No. 44)
One atom of each set of equivalent atoms:
Zr 0.000 0.000 0.000
Zn 0.000 0.000 0.511
Zn 0.000 0.500 0.232
Mo 0.000 0.500 0.759

Results
* ΔE_f: 3.3 kJ per mole of atoms
* volume: 134.18 Å³/cell
* raw total energy: -43.58 eV/cell
* polymorph energy (0 for the lowest one): 127 meV per atom

---

No. 2
Here is Y2CoRu after structural relaxation from Alexandria via LeMat-Bulk. Energies are from PBE.

Cell: 4.783 4.783 3.387 Å, 90.00 90.00 90.00°
Space group P4/mmm (No. 123)
One atom of each set of equivalent atoms:
Y 0.000 0.500 0.000
Co 0.000 0.000 0.500
Ru 0.500 0.500 0.500

Results
* ΔE_f: -19.4 kJ per mole of atoms
* volume: 77.50 Å³/cell
* raw total energy: -30.11 eV/cell

---

No. 3
Here is BiRuBr2 after structural relaxation from Alexandria via LeMat-Bulk. Energies are from PBE.

Cell: 3.6270 3.6270 32.5456 Å, 90.00 90.00 120.00°
Space group R-3m (No. 166, hexagonal axes)
One atom of each set of equivalent atoms:
Bi 0.0000 0.0000 0.0000
Ru 0.0000 0.0000 0.5000
Br 0.0000 0.0000 0.1235

Results
* volume: 370.79 Å³/cell
* raw total energy: -47.30 eV/cell
* polymorph energy (0 for the lowest one): 0 meV per atom

---

No. 4
Here is KNa2Tl2Bi2 after structural relaxation from Alexandria via LeMat-Bulk. Energies are from PBE.

Cell: 5.4709 5.4709 28.6665 Å, 90.00 90.00 120.00°
Space group R-3m (No. 166, hexagonal axes)
One atom of each set of equivalent atoms:
K 0.0000 0.0000 0.0000
Na 0.0000 0.0000 0.1371
Tl 0.0000 0.0000 0.4415
Bi 0.0000 0.0000 0.2499

Results
* ΔE_f: -21.9 kJ per mole of atoms
* volume: 743.07 Å³/cell
* raw total energy: -53.47 eV/cell

---

No. 5
Here is CaTb2PuBi4 after structural relaxation from Alexandria via LeMat-Bulk. Energies are from PBE.

Cell: 7.818 4.531 7.888 Å, 90.00 109.15 90.00°
Space group P2/m (No. 10)
One atom of each set of equivalent atoms:
Ca 0.000 0.000 0.000
Tb 0.000 0.500 0.500
Tb 0.500 0.000 0.500
Pu 0.500 0.500 0.000
Bi 0.252 0.000 0.747
Bi 0.256 0.500 0.255

Results
* ΔE_f: -65.5 kJ per mole of atoms
* volume: 263.94 Å³/cell
* raw total energy: -46.55 eV/cell

---

No. 6
Here is Cd2AgBr after structural relaxation from Alexandria via LeMat-Bulk. Energies are from PBE.

Cell: 4.086 4.086 12.223 Å, 90.00 90.00 90.00°
Space group I-4m2 (No. 119)
One atom of each set of equivalent atoms:
Cd 0.000 0.000 0.000
Cd 0.000 0.500 0.250
Ag 0.000 0.500 0.750
Br 0.000 0.000 0.500

Results
* volume: 204.03 Å³/cell
* raw total energy: -12.48 eV/cell
* polymorph energy (0 for the lowest one): 186 meV per atom